A relaxed structure of MnAl3F. Source: the Alexandria database, functional PBE with a Hubbard U.

Structure (POSCAR):
```
MnAl3F
1.0
4.744 0.000 0.000
0.000 4.744 0.000
0.000 0.000 4.744
Mn Al F
1 3 1
direct
0.000 0.000 0.000
0.000 0.000 0.500
0.000 0.500 0.000
0.500 0.000 0.000
0.500 0.500 0.500
```

Calculated values
Its excess energy over the best structure of this formula in the dataset is 439 meV per atom.